VASP calculation (PBE-GGA) on an optimized crystal structure of Ce2PaH12Pd3.

For the total magnetization, the calculation gives 2.122 μB per formula unit. For the total energy, the calculation gives -4.525 eV/atom. The crystal system is trigonal.

The structure belongs to space group R-3m (No. 166, hexagonal axes); the cell edges are 6.3780, 6.3780 and 15.6830 Å and the angles 90.00°, 90.00° and 120.00°. The asymmetric unit holds Ce at (0.0000, 0.0000, 0.0969), Pa at (0.0000, 0.0000, 0.5000), H at (0.0526, 0.5263, 0.8698), H at (0.0706, 0.5353, 0.2888) and Pd at (0.0000, 0.5000, 0.0000).

---

VASP calculation (PBE-GGA) on an optimized crystal structure of LaAgSeS.

For the total magnetization, the calculation gives 0.000 μB per formula unit. As for the raw formation energy: -1.19 eV/atom. The crystal system is cubic.

The structure belongs to space group F-43m (No. 216); the cell edges are 7.0919, 7.0919 and 7.0919 Å and the angles 90.00°, 90.00° and 90.00°. The asymmetric unit holds La at (0.0000, 0.0000, 0.0000), Ag at (0.0000, 0.0000, 0.5000), Se at (0.2500, 0.2500, 0.7500) and S at (0.2500, 0.2500, 0.2500).

---

VASP calculation (PBE-GGA) on an optimized crystal structure of Tl4Hg5As2.

For the total magnetization, the calculation gives 0.000 μB per formula unit. The calculation puts the formation energy at 0.02 eV per atom. The crystal system is monoclinic.

The structure belongs to space group P2/m (No. 10); the cell edges are 7.7906, 4.7370 and 9.1343 Å and the angles 90.00°, 101.57° and 90.00°. The asymmetric unit holds Tl at (0.2026, 0.0000, 0.3535), Tl at (0.2250, 0.0000, 0.9295), Hg at (0.1547, 0.5000, 0.6322), Hg at (0.4689, 0.5000, 0.1595), Hg at (0.5000, 0.5000, 0.5000) and As at (0.0797, 0.5000, 0.1310).